The following is a PBE calculation of an optimized crystal structure of Mg4In2Pb5, from the Alexandria database.

Geometry as POSCAR:
```
Mg4In2Pb5
1.0
3.364 0.000 0.000
0.000 8.816 -0.489
0.000 2.290 9.980
Mg Pb In
4 5 2
direct
0.500 0.261 0.853
0.500 0.739 0.147
0.500 0.134 0.373
0.500 0.866 0.627
0.000 0.550 0.659
0.000 0.113 0.115
0.000 0.887 0.885
0.000 0.500 0.000
0.000 0.450 0.341
0.000 0.180 0.620
0.000 0.820 0.380
```

- total moment (μB per formula unit) = 0.000
- E (eV per atom) = -2.78
- space group = P2/m
- formation energy from the elements (eV/atom) = -0.020
- DOS(E_F) (states/eV/f.u.) = 4.45